The following is a PBE-GGA calculation of crystalline Dy3AlZn2 at its relaxed geometry, from Alexandria.

Structure (POSCAR):
```
Dy3AlZn2
1.0
-1.9403 -1.9697 4.2445
5.0223 0.2365 -0.6172
0.1186 11.2651 5.2819
Zn Dy Al
4 6 2
Direct
0.6667 0.3333 0.8324
0.0000 0.0000 0.0000
0.3333 0.6667 0.1676
0.0000 0.0000 0.5000
0.6667 0.3333 0.5830
0.0000 0.0000 0.7520
0.3333 0.6667 0.4170
0.6667 0.3333 0.0811
0.3333 0.6667 0.9189
0.0000 0.0000 0.2480
0.6667 0.3333 0.3332
0.3333 0.6667 0.6668
```

## Properties
Space group: P-3m1
Formation enthalpy at 0 K, eV/atom: -0.36
Calculated density, g/cm³: 7.8
V, Å³/atom: 23.0